A plane-wave DFT calculation with GGA-PBE was carried out for an optimized crystal structure of Sm5TlGa4.

Lattice parameters (Å, degrees): 3.6646 3.6646 18.7527 90.00 90.00 90.00
Space group P4/mmm (No. 123)
Inequivalent atoms, fractional coordinates:
Sm  0.0000  0.0000  0.0000 [1 per cell]
Sm  0.0000  0.0000  0.1927 [2 per cell]
Sm  0.0000  0.0000  0.3872 [2 per cell]
Tl  0.5000  0.5000  0.5000 [1 per cell]
Ga  0.5000  0.5000  0.0964 [2 per cell]
Ga  0.5000  0.5000  0.2906 [2 per cell]

Output
**VASP energy**: -43.39 eV for the cell shown
**Volume**: 25.18 Å³ per atom
**Formation enthalpy at 0 K**: -0.53 eV per atom

=====

A plane-wave DFT calculation with GGA-PBE was carried out for an optimized crystal structure of Sm4TlGa.

Lattice parameters (Å, degrees): 5.3147 6.8347 9.4344 90.00 90.00 90.00
Space group Pmmn (No. 59, origin choice 2)
Inequivalent atoms, fractional coordinates:
Sm  0.2500  0.0057  0.2193 [4 per cell]
Sm  0.2500  0.2500  0.9117 [2 per cell]
Sm  0.2500  0.7500  0.5872 [2 per cell]
Tl  0.2500  0.2500  0.5833 [2 per cell]
Ga  0.2500  0.7500  0.9160 [2 per cell]

Output
**VASP energy**: -52.42 eV for the cell shown
**Volume**: 28.56 Å³ per atom
**E above lowest polymorph**: 0 meV per atom
**Formation enthalpy at 0 K**: -0.32 eV per atom

=====

A plane-wave DFT calculation with GGA-PBE was carried out for an optimized crystal structure of Sm3Tl2Ga.

Lattice parameters (Å, degrees): 5.4184 16.1848 3.7421 90.00 90.00 90.00
Space group Pmmn (No. 59, origin choice 2)
Inequivalent atoms, fractional coordinates:
Sm  0.2500  0.0939  0.9999 [4 per cell]
Sm  0.2500  0.7500  0.0014 [2 per cell]
Tl  0.2500  0.5778  0.5003 [4 per cell]
Ga  0.2500  0.2500  0.4991 [2 per cell]

Output
**VASP energy**: -49.01 eV for the cell shown
**Volume**: 27.35 Å³ per atom
**E above lowest polymorph**: 8 meV per atom
**Formation enthalpy at 0 K**: -0.43 eV per atom

=====

A plane-wave DFT calculation with GGA-PBE was carried out for an optimized crystal structure of Sm8TlGa2.

Lattice parameters (Å, degrees): 17.3084 4.9537 8.0299 90.00 110.89 90.00
Space group C2/m (No. 12)
Inequivalent atoms, fractional coordinates:
Sm  0.0506  0.0000  0.2360 [4 per cell]
Sm  0.0997  0.5000  0.9560 [4 per cell]
Sm  0.1710  0.0000  0.7559 [4 per cell]
Sm  0.1773  0.5000  0.4497 [4 per cell]
Tl  0.0000  0.5000  0.5000 [2 per cell]
Ga  0.2130  0.0000  0.1645 [4 per cell]

Output
**VASP energy**: -98.04 eV for the cell shown
**Volume**: 29.24 Å³ per atom
**Formation enthalpy at 0 K**: -0.26 eV per atom

=====

A plane-wave DFT calculation with GGA-PBE was carried out for an optimized crystal structure of Sm6Tl2Ga.

Lattice parameters (Å, degrees): 8.4121 8.4121 4.4390 90.00 90.00 120.00
Space group P-62m (No. 189)
Inequivalent atoms, fractional coordinates:
Sm  0.0000  0.2528  0.0000 [3 per cell]
Sm  0.0000  0.5977  0.5000 [3 per cell]
Tl  0.3333  0.6667  0.0000 [2 per cell]
Ga  0.0000  0.0000  0.5000 [1 per cell]

Output
**VASP energy**: -38.77 eV for the cell shown
**Volume**: 30.23 Å³ per atom
**Formation enthalpy at 0 K**: -0.30 eV per atom

=====

A plane-wave DFT calculation with GGA-PBE was carried out for an optimized crystal structure of Sm8TlGa2.

Lattice parameters (Å, degrees): 16.4649 5.2969 8.5553 90.00 119.50 90.00
Space group C2/m (No. 12)
Inequivalent atoms, fractional coordinates:
Sm  0.0661  0.0000  0.2195 [4 per cell]
Sm  0.1035  0.5000  0.9557 [4 per cell]
Sm  0.1470  0.0000  0.7078 [4 per cell]
Sm  0.1832  0.5000  0.4600 [4 per cell]
Tl  0.0000  0.5000  0.5000 [2 per cell]
Ga  0.2214  0.0000  0.1242 [4 per cell]

Output
**VASP energy**: -98.04 eV for the cell shown
**Volume**: 29.52 Å³ per atom
**Formation enthalpy at 0 K**: -0.26 eV per atom